{"formula": "AlCoRe", "functional": "PBE", "state": "optimized geometry", "lattice": [[-1.372, 1.372, 5.211], [1.372, -1.372, 5.211], [1.372, 1.372, -5.211]], "species": ["Al", "Co", "Re"], "fractional_positions": [[0.000, 0.000, 0.000], [0.657, 0.657, 0.000], [0.313, 0.313, 0.000]], "formation_energy_mev_per_atom": -208, "polymorph_energy_ev_per_atom": 0.000}